[1]
## CsCdAgBr4 (GGA-PBE)

Data for a relaxed CsCdAgBr4 crystal.

Output
The value obtained for the density of states at the Fermi level is 0.00 states/eV/cell. As for the symmetry: P2_1/m, No. 11. The formation energy from raw total energies comes out at -94.1 kJ/mol of atoms.

Lattice parameters (Å, degrees): 7.002 7.862 9.781 90.00 104.16 90.00
Element x y z (fractional)
Cd: 0.769 0.250 0.672
Cd: 0.231 0.750 0.328
Cs: 0.759 0.750 0.941
Cs: 0.241 0.250 0.059
Br: 0.956 0.503 0.298
Br: 0.044 0.003 0.702
Br: 0.489 0.250 0.443
Br: 0.511 0.750 0.557
Br: 0.320 0.750 0.083
Br: 0.956 0.997 0.298
Br: 0.044 0.497 0.702
Br: 0.680 0.250 0.917
Ag: 0.865 0.750 0.490
Ag: 0.135 0.250 0.510

[2]
## Cs3CdAg2Br8 (GGA-PBE)

Data for a relaxed Cs3CdAg2Br8 crystal.

Output
The value obtained for the density of states at the Fermi level is 14.72 states/eV/cell. As for the symmetry: P-3m1, No. 164. The formation energy from raw total energies comes out at -98.2 kJ/mol of atoms.

Lattice parameters (Å, degrees): 7.831 7.831 10.448 90.00 90.00 120.00
Element x y z (fractional)
Ag: 0.667 0.333 0.798
Ag: 0.333 0.667 0.202
Br: 0.839 0.161 0.666
Br: 0.839 0.677 0.666
Br: 0.333 0.667 0.961
Br: 0.323 0.161 0.666
Br: 0.677 0.839 0.334
Br: 0.161 0.839 0.334
Br: 0.161 0.323 0.334
Br: 0.667 0.333 0.039
Cs: 0.333 0.667 0.624
Cs: 0.667 0.333 0.376
Cs: 0.000 0.000 0.000
Cd: 0.000 0.000 0.500

[3]
## CsCdAg2Br4 (GGA-PBE)

Data for a relaxed CsCdAg2Br4 crystal.

Output
The value obtained for the density of states at the Fermi level is 2.32 states/eV/cell. As for the symmetry: I-42m, No. 121. The formation energy from raw total energies comes out at -62.9 kJ/mol of atoms.

Lattice parameters (Å, degrees): 7.578 7.578 7.358 121.01 121.01 89.97
Element x y z (fractional)
Ag: 0.250 0.750 0.500
Ag: 0.750 0.250 0.500
Br: 0.474 0.878 0.353
Br: 0.122 0.122 0.648
Br: 0.526 0.526 0.648
Br: 0.878 0.474 0.353
Cd: 0.500 0.500 0.000
Cs: 0.000 0.000 0.000

[4]
## CdAg2Br2F2 (GGA-PBE)

Data for a relaxed CdAg2Br2F2 crystal.

Output
As for the symmetry: C2/m, No. 12. The formation energy from raw total energies comes out at -94.1 kJ/mol of atoms.

Lattice parameters (Å, degrees): 3.873 6.692 6.376 69.12 72.32 73.18
Element x y z (fractional)
Cd: 0.000 0.000 0.000
F: 0.199 0.693 0.908
F: 0.801 0.307 0.092
Br: 0.570 0.198 0.661
Br: 0.430 0.802 0.339
Ag: 0.148 0.408 0.297
Ag: 0.852 0.592 0.703